1.
VI3Cl: optimized geometry, GGA-PBE.

```
VI3Cl
1.0
5.432 0.000 0.000
0.000 5.432 0.000
0.000 0.000 5.432
V I Cl
1 3 1
Direct
0.000 0.000 0.000 V
0.000 0.000 0.500 I
0.000 0.500 0.000 I
0.500 0.000 0.000 I
0.500 0.500 0.500 Cl
```

Output
SG: Pm-3m (221)
Formation energy from raw total energies (eV per atom): -0.024
Total magnetic moment (μB/f.u.): 0.98

=====

2.
ZrPd2Au2: optimized geometry, GGA-PBE.

```
ZrPd2Au2
1.0
4.656 -2.013 0.000
4.656 2.013 0.000
-0.093 0.000 9.280
Zr Pd Au
2 4 4
Direct
0.245 0.245 0.244 Zr
0.755 0.755 0.756 Zr
0.349 0.349 0.947 Pd
0.450 0.450 0.653 Pd
0.550 0.550 0.347 Pd
0.651 0.651 0.053 Pd
0.052 0.052 0.852 Au
0.149 0.149 0.548 Au
0.851 0.851 0.452 Au
0.948 0.948 0.148 Au
```

Output
SG: C2/m (12)
DFT formation energy (eV/atom): -0.57
Total magnetic moment (μB/f.u.): 0.00

=====

3.
SrCdNi2: optimized geometry, GGA-PBE.

```
SrCdNi2
1.0
-2.021 2.021 4.666
2.021 -2.021 4.666
2.021 2.021 -4.666
Sr Cd Ni
1 1 2
Direct
0.000 0.000 0.000 Sr
0.250 0.750 0.500 Cd
0.500 0.500 0.000 Ni
0.750 0.250 0.500 Ni
```

Output
SG: I-4m2 (119)
DFT formation energy (eV/atom): 0.26
Total magnetic moment (μB/f.u.): 0.00

=====

4.
LaTcRh4: optimized geometry, GGA-PBE.

```
LaTcRh4
1.0
0.000 3.743 3.743
3.743 0.000 3.743
3.743 3.743 0.000
La Tc Rh
1 1 4
Direct
0.000 0.000 0.000 La
0.250 0.250 0.250 Tc
0.128 0.624 0.624 Rh
0.624 0.128 0.624 Rh
0.624 0.624 0.128 Rh
0.624 0.624 0.624 Rh
```

Output
SG: F-43m (216)
DFT formation energy (eV/atom): 0.01
Total magnetic moment (μB/f.u.): 3.54

=====

5.
Ti3PdRh4: optimized geometry, GGA-PBE.

```
Ti3PdRh4
1.0
4.198 0.000 0.000
0.000 4.198 0.000
0.000 0.000 6.784
Ti Pd Rh
3 1 4
Direct
0.000 0.000 0.000 Ti
0.000 0.000 0.500 Ti
0.500 0.500 0.000 Ti
0.500 0.500 0.500 Pd
0.000 0.500 0.229 Rh
0.000 0.500 0.771 Rh
0.500 0.000 0.229 Rh
0.500 0.000 0.771 Rh
```

Output
SG: P4/mmm (123)
DFT formation energy (eV/atom): -0.68
Total magnetic moment (μB/f.u.): 0.00

=====

6.
Li2TeF: optimized geometry, GGA-PBE.

```
Li2TeF
1.0
0.000 3.294 3.294
3.294 0.000 3.294
3.294 3.294 0.000
Li Te F
2 1 1
Direct
0.250 0.250 0.250 Li
0.750 0.750 0.750 Li
0.000 0.000 0.000 Te
0.500 0.500 0.500 F
```

Output
SG: Fm-3m (225)
Formation energy from raw total energies (eV per atom): -1.090
Total magnetic moment (μB/f.u.): 0.98

=====

7.
TlFe2PbBr8: optimized geometry, GGA-PBE.

```
TlFe2PbBr8
1.0
5.761 -4.006 0.000
5.761 4.006 0.000
-0.596 0.000 9.931
Tl Fe Pb Br
1 2 1 8
Direct
0.000 0.000 0.000 Tl
0.377 0.377 0.728 Fe
0.623 0.623 0.272 Fe
0.000 0.000 0.500 Pb
0.253 0.734 0.271 Br
0.265 0.265 0.518 Br
0.266 0.747 0.729 Br
0.283 0.283 0.931 Br
0.717 0.717 0.069 Br
0.734 0.253 0.271 Br
0.735 0.735 0.482 Br
0.747 0.266 0.729 Br
```

Output
SG: C2/m (12)
Formation energy from raw total energies (eV per atom): -0.640
Total magnetic moment (μB/f.u.): 9.00

=====

8.
HfNbAs: optimized geometry, GGA-PBE.

```
HfNbAs
1.0
-1.733 1.733 4.609
1.733 -1.733 4.609
1.733 1.733 -4.609
Hf Nb As
1 1 1
Direct
0.000 0.000 0.000 Hf
0.316 0.316 0.000 Nb
0.675 0.675 0.000 As
```

Output
SG: I4mm (107)
DFT formation energy (eV/atom): -0.44
Total magnetic moment (μB/f.u.): 0.00

=====

no.,E (eV/cell)
1,-15.7
2,-56.7
3,-13.1
4,-44.6
5,-63.7
6,-13.2
7,-44.1
8,-26.0